CsGeW2O8 (GGA+U, relaxed); raw total energy = -80.664 eV per cell; ρ = 4.87 g/cm3; DOS at the Fermi energy = 1.283 states/eV/cell
1.0
5.601 0.000 0.000
-2.800 4.850 0.000
0.000 0.000 8.806
Cs Ge W O
1 1 2 8
Direct
0.000 0.000 0.000 Cs
0.000 0.000 0.500 Ge
0.333 0.667 0.698 W
0.667 0.333 0.302 W
0.067 0.321 0.636 O
0.254 0.933 0.636 O
0.321 0.254 0.364 O
0.333 0.667 0.900 O
0.667 0.333 0.100 O
0.679 0.746 0.636 O
0.746 0.067 0.364 O
0.933 0.679 0.364 O